Computed, not measured: a relaxed CdH2Pd2 crystal at the GGA-PBE level of DFT.

Computed properties:
- calculated density (g/cm³) = 9.6
- E above lowest polymorph (eV per atom) = 0.000
- uncorrected energy (eV per cell) = -18.96

The structure in POSCAR format:
```
CdH2Pd2
1.0
-1.675 1.675 5.061
1.675 -1.675 5.061
1.675 1.675 -5.061
Cd H Pd
1 2 2
direct
0.000 0.000 0.000
0.250 0.750 0.500
0.750 0.250 0.500
0.340 0.340 0.000
0.660 0.660 0.000
```



Computed, not measured: a relaxed BaSbAu crystal at the GGA-PBE level of DFT.

Computed properties:
- calculated density (g/cm³) = 7.4
- uncorrected energy (eV per cell) = -23.14

The structure in POSCAR format:
```
BaSbAu
1.0
3.744 -3.587 0.000
3.744 3.587 0.000
-1.332 0.000 7.642
Ba Sb Au
2 2 2
direct
0.199 0.199 0.238
0.801 0.801 0.762
0.267 0.271 0.710
0.729 0.733 0.290
0.261 0.739 0.500
0.604 0.396 0.000
```



Computed, not measured: a relaxed KBSe2Br crystal at the GGA-PBE level of DFT.

Computed properties:
- calculated density (g/cm³) = 3.3
- E above lowest polymorph (eV per atom) = 0.000
- uncorrected energy (eV per cell) = -16.63

The structure in POSCAR format:
```
KBSe2Br
1.0
4.376 0.000 0.000
0.000 4.376 0.000
0.000 0.000 7.581
K B Se Br
1 1 2 1
direct
0.000 0.000 0.000
0.500 0.500 0.500
0.000 0.500 0.500
0.500 0.000 0.500
0.500 0.500 0.000
```



Computed, not measured: a relaxed NaLaTiRh2 crystal at the GGA-PBE level of DFT.

Computed properties:
- calculated density (g/cm³) = 6.3
- uncorrected energy (eV per cell) = -28.42

The structure in POSCAR format:
```
NaLaTiRh2
1.0
4.661 0.000 0.000
0.000 4.661 0.000
0.000 0.000 5.071
Na La Ti Rh
1 1 1 2
direct
0.000 0.000 0.000
0.500 0.500 0.000
0.000 0.000 0.500
0.000 0.500 0.500
0.500 0.000 0.500
```



Computed, not measured: a relaxed CeSmHoTl crystal at the GGA-PBE level of DFT.

Computed properties:
- calculated density (g/cm³) = 9.6
- uncorrected energy (eV per cell) = -17.53

The structure in POSCAR format:
```
CeSmHoTl
1.0
0.000 3.846 3.846
3.846 0.000 3.846
3.846 3.846 0.000
Ce Sm Ho Tl
1 1 1 1
direct
0.000 0.000 0.000
0.750 0.750 0.750
0.250 0.250 0.250
0.500 0.500 0.500
```



Computed, not measured: a relaxed HfSc2GeC crystal at the GGA-PBE level of DFT.

Computed properties:
- calculated density (g/cm³) = 6.7
- uncorrected energy (eV per cell) = -39.65

The structure in POSCAR format:
```
HfSc2GeC
1.0
4.433 0.000 0.000
0.000 4.433 0.000
0.000 0.000 4.449
Hf Sc Ge C
1 2 1 1
direct
0.000 0.000 0.000
0.000 0.500 0.500
0.500 0.000 0.500
0.500 0.500 0.000
0.000 0.000 0.500
```



Computed, not measured: a relaxed LaNdAu2 crystal at the GGA-PBE level of DFT.

Computed properties:
- calculated density (g/cm³) = 9.5
- uncorrected energy (eV per cell) = -18.98

The structure in POSCAR format:
```
LaNdAu2
1.0
2.097 1.211 7.736
-2.097 1.211 7.736
0.000 -2.422 7.736
La Nd Au
1 1 2
direct
0.000 0.000 0.000
0.500 0.500 0.500
0.249 0.249 0.249
0.751 0.751 0.751
```



Computed, not measured: a relaxed MgAu crystal at the GGA-PBE level of DFT.

Computed properties:
- calculated density (g/cm³) = 9.9
- uncorrected energy (eV per cell) = -17.71

The structure in POSCAR format:
```
MgAu
1.0
5.009 -1.632 0.000
5.009 1.632 0.000
-2.452 0.000 6.794
Mg Au
3 3
direct
0.000 0.000 0.000
0.061 0.061 0.597
0.336 0.336 0.253
0.356 0.356 0.667
0.632 0.632 0.329
0.708 0.708 0.923
```



Calculated density of states at the Fermi level (states/eV/f.u.), listed in the same order as above: 1.13, 0.00, 3.94, 3.20, 6.31, 2.06, 3.36, 0.53